# TbPmIr2 meta-GGA SCAN PBEsol geometry
# formation energy = -0.83 eV/atom
# calculated density = 14.14 g/cm3
data_TbPmIr2
_chemical_formula_sum 'Tb1 Pm1 Ir2'
_symmetry_space_group_name_H-M 'P 1'
_symmetry_Int_Tables_number 1
_symmetry_space_group_name_Hall 'P 1'
_cell_length_a 4.853
_cell_length_b 4.853
_cell_length_c 4.853
_cell_angle_alpha 60.00
_cell_angle_beta 60.00
_cell_angle_gamma 60.00
loop_
_atom_site_label
_atom_site_type_symbol
_atom_site_fract_x
_atom_site_fract_y
_atom_site_fract_z
Pm1 Pm 0.500 0.500 0.500
Tb1 Tb 0.000 0.000 0.000
Ir1 Ir 0.250 0.250 0.250
Ir2 Ir 0.750 0.750 0.750